A plane-wave DFT calculation with PBE was carried out for a relaxed LaSm5Y7 crystal.

Computed properties:
Formation energy from the elements (eV per atom): 0.2250
Symmetry: No. 44
E (eV per cell): -70.85

Cell: 6.741 8.808 8.808 Å, 79.54 67.50 67.50°
Sites, in units of the cell vectors:
La  0.968  0.032  0.032
Sm  0.535  0.002  0.464
Sm  0.999  0.002  0.464
Sm  0.535  0.464  0.002
Sm  0.999  0.464  0.002
Sm  0.773  0.727  0.727
Y  0.577  0.423  0.423
Y  0.271  0.729  0.729
Y  0.020  0.312  0.648
Y  0.020  0.648  0.312
Y  0.266  0.234  0.234
Y  0.518  0.813  0.150
Y  0.518  0.150  0.813


A plane-wave DFT calculation with PBE was carried out for a relaxed Th3Si2Rh9 crystal.

Computed properties:
Symmetry: No. 164
ΔE_f (raw) (eV/atom): -0.92
E (eV per cell): -112.12

Cell: 6.220 6.220 7.403 Å, 90.00 90.00 120.00°
Sites, in units of the cell vectors:
Th  0.667  0.333  0.662
Th  0.000  0.000  0.000
Th  0.333  0.667  0.338
Si  0.667  0.333  0.203
Si  0.333  0.667  0.797
Rh  0.149  0.851  0.656
Rh  0.149  0.297  0.656
Rh  0.500  0.500  0.000
Rh  0.851  0.703  0.344
Rh  0.297  0.149  0.344
Rh  0.703  0.851  0.656
Rh  0.851  0.149  0.344
Rh  0.000  0.500  0.000
Rh  0.500  0.000  0.000


A plane-wave DFT calculation with PBE was carried out for a relaxed MgPd3Cl crystal.

Computed properties:
Symmetry: No. 221
ΔE_f (raw) (eV/atom): 0.59
E (eV per cell): -16.09
Energy above the lowest structure with this stoichiometry (eV per atom): 0.396

Cell: 4.751 4.751 4.751 Å, 90.00 90.00 90.00°
Sites, in units of the cell vectors:
Mg  0.000  0.000  0.000
Pd  0.000  0.500  0.000
Pd  0.000  0.000  0.500
Pd  0.500  0.000  0.000
Cl  0.500  0.500  0.500